Entry 1:
Crystalline TlZnSi2 at its relaxed geometry, computed with PBE-GGA.

Values from the calculation:
* energy relative to the elements, uncorrected: 2.3 eV/f.u.
* E_tot: -24.3 eV for the cell shown

Cell and atoms, written as CIF:
```
data_TlZnSi2
_chemical_formula_sum 'Tl2 Zn2 Si4'
_symmetry_space_group_name_H-M 'C m m m'
_symmetry_Int_Tables_number 65
_symmetry_space_group_name_Hall '-C 2 2'
_cell_length_a 5.5354
_cell_length_b 10.2952
_cell_length_c 2.8025
_cell_angle_alpha 90.00
_cell_angle_beta 90.00
_cell_angle_gamma 90.00
loop_
_atom_site_label
_atom_site_type_symbol
_atom_site_fract_x
_atom_site_fract_y
_atom_site_fract_z
Tl1 Tl 0.0000 0.0000 0.0000
Zn1 Zn 0.0000 0.5000 0.0000
Si1 Si 0.2500 0.2500 0.5000
```

---

Entry 2:
Crystalline CrNiHg2Pt at its relaxed geometry, computed with PBE-GGA.

Values from the calculation:
* E_tot: -18.0 eV for the cell shown
* ΔH_f (0 K): 807.0 meV/atom

Cell and atoms, written as CIF:
```
data_CrNiHg2Pt
_chemical_formula_sum 'Cr1 Ni1 Hg2 Pt1'
_symmetry_space_group_name_H-M 'P 4/m m m'
_symmetry_Int_Tables_number 123
_symmetry_space_group_name_Hall '-P 4 2'
_cell_length_a 4.8208
_cell_length_b 4.8208
_cell_length_c 4.4218
_cell_angle_alpha 90.00
_cell_angle_beta 90.00
_cell_angle_gamma 90.00
loop_
_atom_site_label
_atom_site_type_symbol
_atom_site_fract_x
_atom_site_fract_y
_atom_site_fract_z
Cr1 Cr 0.0000 0.0000 0.0000
Ni1 Ni 0.0000 0.0000 0.5000
Hg1 Hg 0.0000 0.5000 0.5000
Pt1 Pt 0.5000 0.5000 0.0000
```

---

Entry 3:
Crystalline PmFe12Ge6 at its relaxed geometry, computed with PBE-GGA.

Values from the calculation:
* E_tot: -402.0 eV for the cell shown
* ΔH_f (0 K): 0.8 meV/atom

Cell and atoms, written as CIF:
```
data_PmFe12Ge6
_chemical_formula_sum 'Pm3 Fe36 Ge18'
_symmetry_space_group_name_H-M 'R -3 m'
_symmetry_Int_Tables_number 166
_symmetry_space_group_name_Hall '-R 3 2"'
_cell_length_a 10.6629
_cell_length_b 10.6629
_cell_length_c 8.4144
_cell_angle_alpha 90.00
_cell_angle_beta 90.00
_cell_angle_gamma 120.00
loop_
_atom_site_label
_atom_site_type_symbol
_atom_site_fract_x
_atom_site_fract_y
_atom_site_fract_z
Pm1 Pm 0.0000 0.0000 0.0000
Fe1 Fe 0.0000 0.3857 0.5000
Fe2 Fe 0.0954 0.1908 0.3252
Ge1 Ge 0.0311 0.5156 0.2607
```

---

Entry 4:
Crystalline K3AcLa2Te6 at its relaxed geometry, computed with PBE-GGA.

Values from the calculation:
* energy relative to the elements, uncorrected: -18.0 eV/f.u.
* E_tot: -108.1 eV for the cell shown

Cell and atoms, written as CIF:
```
data_K3AcLa2Te6
_chemical_formula_sum 'K6 Ac2 La4 Te12'
_symmetry_space_group_name_H-M 'C 1 2/m 1'
_symmetry_Int_Tables_number 12
_cell_length_a 8.2452
_cell_length_b 14.2812
_cell_length_c 8.6857
_cell_angle_alpha 90.00
_cell_angle_beta 108.46
_cell_angle_gamma 90.00
loop_
_symmetry_equiv_pos_as_xyz
'x,y,z'
'-x,-y,-z'
'-x,y,-z'
'x,-y,z'
'x+1/2,y+1/2,z'
'-x+1/2,-y+1/2,-z'
'-x+1/2,y+1/2,-z'
'x+1/2,-y+1/2,z'
loop_
_atom_site_label
_atom_site_type_symbol
_atom_site_fract_x
_atom_site_fract_y
_atom_site_fract_z
K1 K 0.0000 0.0000 0.0000
K2 K 0.0000 0.3345 0.0000
Ac1 Ac 0.0000 0.5000 0.5000
La1 La 0.0000 0.1668 0.5000
Te1 Te 0.2323 0.0000 0.7183
Te2 Te 0.2431 0.3298 0.7183
```

---

> Number 2 is which compound?

CrNiHg2Pt